# 1
! RuPtBr2, optimized geometry, DFT GGA-PBE; values from VASP
! Excess energy over the best structure of this formula in the dataset (eV per atom): 0.000
! ΔE_f (raw) (eV per formula unit): 0.620
! Calculated total energy (eV per atom): -4.511
&SYSTEM
  ibrav = 0, nat = 12, ntyp = 3
/
ATOMIC_SPECIES
Ru 101.07 Ru.upf
Pt 195.08 Pt.upf
Br 79.90 Br.upf
CELL_PARAMETERS angstrom
3.772 0.000 0.000
-1.886 3.267 0.000
0.000 0.000 24.310
ATOMIC_POSITIONS angstrom
Ru 0.000 0.000 0.000
Ru 0.000 2.178 16.207
Ru 1.886 1.089 8.103
Pt 0.000 0.000 6.817
Pt 0.000 2.178 23.024
Pt 1.886 1.089 14.921
Br 0.000 0.000 13.296
Br 0.000 0.000 17.724
Br 0.000 2.178 5.193
Br 0.000 2.178 9.621
Br 1.886 1.089 1.518
Br 1.886 1.089 21.399

# 2
! La3Si4Ru2, optimized geometry, DFT GGA-PBE; values from VASP
! ΔE_f (raw) (eV per formula unit): -6.829
! Calculated total energy (eV per atom): -6.873
&SYSTEM
  ibrav = 0, nat = 9, ntyp = 3
/
ATOMIC_SPECIES
La 138.91 La.upf
Si 28.09 Si.upf
Ru 101.07 Ru.upf
CELL_PARAMETERS angstrom
5.781 -2.093 0.000
5.781 2.093 0.000
-2.643 0.000 7.921
ATOMIC_POSITIONS angstrom
La 0.000 0.000 0.000
La 3.741 0.000 2.453
La 5.179 0.000 5.468
Si 0.308 0.000 3.168
Si 0.762 0.000 7.313
Si 8.157 0.000 0.608
Si 8.611 0.000 4.753
Ru 1.791 0.000 5.102
Ru 7.129 0.000 2.819

# 3
! Cs2NdZn2O4, optimized geometry, DFT GGA-PBE; values from VASP
! ΔE_f (raw) (eV per formula unit): -14.735
! Calculated total energy (eV per atom): -4.843
&SYSTEM
  ibrav = 0, nat = 9, ntyp = 4
/
ATOMIC_SPECIES
Cs 132.91 Cs.upf
Nd 144.24 Nd.upf
Zn 65.41 Zn.upf
O 16.00 O.upf
CELL_PARAMETERS angstrom
7.358 -1.781 0.000
7.358 1.781 0.000
-2.076 0.000 6.915
ATOMIC_POSITIONS angstrom
Cs 1.834 0.000 0.441
Cs 10.806 0.000 6.473
Nd -1.038 0.000 3.457
Zn 3.715 0.000 3.247
Zn 8.925 0.000 3.668
O 1.123 0.000 4.660
O 5.230 0.000 4.639
O 7.410 0.000 2.276
O 11.517 0.000 2.254

# 4
! Ce2MnAs4Pt3, optimized geometry, DFT GGA-PBE; values from VASP
! ΔH_f (0 K) (eV/atom): -0.75
! Calculated total energy (eV per atom): -6.529
&SYSTEM
  ibrav = 0, nat = 10, ntyp = 4
/
ATOMIC_SPECIES
Ce 140.12 Ce.upf
Mn 54.94 Mn.upf
As 74.92 As.upf
Pt 195.08 Pt.upf
CELL_PARAMETERS angstrom
4.189 0.000 0.000
0.000 4.189 0.000
0.000 0.000 10.712
ATOMIC_POSITIONS angstrom
Ce 0.000 2.095 2.526
Ce 2.095 0.000 8.186
Mn 2.095 2.095 0.000
As 0.000 0.000 5.356
As 0.000 2.095 9.350
As 2.095 0.000 1.362
As 2.095 2.095 5.356
Pt 0.000 0.000 0.000
Pt 0.000 2.095 6.899
Pt 2.095 0.000 3.813

# 5
! CaTbY4Se8, optimized geometry, DFT GGA-PBE; values from VASP
! ΔE_f (raw) (eV per formula unit): -25.360
! Calculated total energy (eV per atom): -6.123
&SYSTEM
  ibrav = 0, nat = 14, ntyp = 4
/
ATOMIC_SPECIES
Ca 40.08 Ca.upf
Tb 158.93 Tb.upf
Y 88.91 Y.upf
Se 78.96 Se.upf
CELL_PARAMETERS angstrom
4.235 2.445 6.921
-4.235 2.445 6.921
0.000 -4.890 6.921
ATOMIC_POSITIONS angstrom
Ca 0.000 0.000 0.000
Tb 0.000 0.000 13.023
Y -2.152 -1.243 9.503
Y 0.000 0.000 5.192
Y 2.152 -1.243 9.503
Y 0.000 2.485 9.503
Se 0.000 0.000 7.952
Se 0.000 -2.292 11.189
Se -1.985 1.146 11.189
Se -1.954 -1.128 14.780
Se 1.985 1.146 11.189
Se 0.000 0.000 17.965
Se 1.954 -1.128 14.780
Se 0.000 2.257 14.780

# 6
! Tb2YHo2, optimized geometry, DFT GGA-PBE; values from VASP
! ΔH_f (0 K) (eV/atom): 0.52
! Excess energy over the best structure of this formula in the dataset (eV per atom): 0.442
! Calculated total energy (eV per atom): -4.455
&SYSTEM
  ibrav = 0, nat = 10, ntyp = 3
/
ATOMIC_SPECIES
Tb 158.93 Tb.upf
Y 88.91 Y.upf
Ho 164.93 Ho.upf
CELL_PARAMETERS angstrom
5.892 0.000 0.000
0.000 5.892 0.000
0.000 0.000 9.557
ATOMIC_POSITIONS angstrom
Tb 0.000 2.946 2.389
Tb 0.000 2.946 7.168
Tb 2.946 0.000 2.389
Tb 2.946 0.000 7.168
Y 0.000 0.000 0.000
Y 2.946 2.946 4.778
Ho 0.000 0.000 3.367
Ho 0.000 0.000 6.190
Ho 2.946 2.946 1.411
Ho 2.946 2.946 8.146

# 7
! LiPr2Bi, optimized geometry, DFT GGA-PBE; values from VASP
! ΔH_f (0 K) (eV/atom): -0.40
! Excess energy over the best structure of this formula in the dataset (eV per atom): 0.048
! Calculated total energy (eV per atom): -4.241
&SYSTEM
  ibrav = 0, nat = 16, ntyp = 3
/
ATOMIC_SPECIES
Li 6.94 Li.upf
Pr 140.91 Pr.upf
Bi 208.98 Bi.upf
CELL_PARAMETERS angstrom
7.769 0.000 0.000
0.000 7.769 0.000
0.000 0.000 7.769
ATOMIC_POSITIONS angstrom
Li 0.000 0.000 0.000
Li 0.000 3.884 3.884
Li 3.884 0.000 3.884
Li 3.884 3.884 0.000
Pr 1.942 1.942 1.942
Pr 1.942 1.942 5.827
Pr 1.942 5.827 1.942
Pr 1.942 5.827 5.827
Pr 5.827 1.942 1.942
Pr 5.827 1.942 5.827
Pr 5.827 5.827 1.942
Pr 5.827 5.827 5.827
Bi 0.000 0.000 3.884
Bi 0.000 3.884 0.000
Bi 3.884 0.000 0.000
Bi 3.884 3.884 3.884

# 8
! ReSbI2O, optimized geometry, DFT GGA-PBE; values from VASP
! Excess energy over the best structure of this formula in the dataset (eV per atom): 1.214
! ΔE_f (raw) (eV per formula unit): 6.553
! Calculated total energy (eV per atom): -3.615
&SYSTEM
  ibrav = 0, nat = 5, ntyp = 4
/
ATOMIC_SPECIES
Re 186.21 Re.upf
Sb 121.76 Sb.upf
I 126.90 I.upf
O 16.00 O.upf
CELL_PARAMETERS angstrom
4.905 0.000 0.000
0.000 4.905 0.000
0.000 0.000 4.512
ATOMIC_POSITIONS angstrom
Re 0.000 0.000 0.000
Sb 2.453 2.453 0.000
I 0.000 2.453 2.256
I 2.453 0.000 2.256
O 2.453 2.453 2.256

# 9
! LaGeRhF, optimized geometry, DFT GGA-PBE; values from VASP
! ΔE_f (raw) (eV per formula unit): -7.886
! Calculated total energy (eV per atom): -6.663
&SYSTEM
  ibrav = 0, nat = 8, ntyp = 4
/
ATOMIC_SPECIES
La 138.91 La.upf
Ge 72.64 Ge.upf
Rh 102.91 Rh.upf
F 19.00 F.upf
CELL_PARAMETERS angstrom
4.164 0.000 0.000
0.000 4.164 0.000
0.000 0.000 8.492
ATOMIC_POSITIONS angstrom
La 1.041 1.041 1.566
La 3.123 3.123 6.926
Ge 1.041 1.041 5.597
Ge 3.123 3.123 2.895
Rh 1.041 3.123 4.246
Rh 3.123 1.041 4.246
F 1.041 3.123 0.000
F 3.123 1.041 0.000

# 10
! Pr6Tl3I, optimized geometry, DFT GGA-PBE; values from VASP
! ΔE_f (raw) (eV per formula unit): -2.770
! Calculated total energy (eV per atom): -4.010
&SYSTEM
  ibrav = 0, nat = 20, ntyp = 3
/
ATOMIC_SPECIES
Pr 140.91 Pr.upf
Tl 204.38 Tl.upf
I 126.90 I.upf
CELL_PARAMETERS angstrom
6.072 -7.067 0.000
6.072 7.067 0.000
0.000 0.000 7.783
ATOMIC_POSITIONS angstrom
Pr 6.072 6.965 3.891
Pr 4.231 2.439 0.355
Pr 3.025 0.895 5.119
Pr 6.072 2.666 4.338
Pr 3.025 -0.895 1.228
Pr 7.912 2.439 0.355
Pr 4.231 -2.439 4.247
Pr 9.119 0.895 5.119
Pr 6.072 -2.666 0.447
Pr 9.119 -0.895 1.228
Pr 7.912 -2.439 4.247
Pr 6.072 -6.965 0.000
Tl 4.374 4.916 6.046
Tl 7.769 4.916 6.046
Tl 6.072 0.021 6.410
Tl 6.072 -0.021 2.519
Tl 4.374 -4.916 2.155
Tl 7.769 -4.916 2.155
I 6.072 4.613 1.867
I 6.072 -4.613 5.758

# 11
! Pu, optimized geometry, DFT GGA-PBE; values from VASP
! ΔH_f (0 K) (eV/atom): 0.35
! Excess energy over the best structure of this formula in the dataset (eV per atom): 0.353
! Calculated total energy (eV per atom): -13.979
&SYSTEM
  ibrav = 0, nat = 4, ntyp = 1
/
ATOMIC_SPECIES
Pu 244.00 Pu.upf
CELL_PARAMETERS angstrom
4.767 0.000 0.000
0.000 4.767 0.000
0.000 0.000 4.767
ATOMIC_POSITIONS angstrom
Pu 0.000 0.000 0.000
Pu 0.000 2.383 2.383
Pu 2.383 0.000 2.383
Pu 2.383 2.383 0.000

# 12
! DyZrBeOs, optimized geometry, DFT GGA-PBE; values from VASP
! ΔH_f (0 K) (eV/atom): -0.13
! Calculated total energy (eV per atom): -7.153
&SYSTEM
  ibrav = 0, nat = 16, ntyp = 4
/
ATOMIC_SPECIES
Dy 162.50 Dy.upf
Zr 91.22 Zr.upf
Be 9.01 Be.upf
Os 190.23 Os.upf
CELL_PARAMETERS angstrom
6.669 0.000 0.000
0.000 6.669 0.000
0.000 0.000 6.669
ATOMIC_POSITIONS angstrom
Dy 0.000 0.000 0.000
Dy 0.000 3.334 3.334
Dy 3.334 0.000 3.334
Dy 3.334 3.334 0.000
Zr 0.000 0.000 3.334
Zr 0.000 3.334 0.000
Zr 3.334 0.000 0.000
Zr 3.334 3.334 3.334
Be 1.667 1.667 1.667
Be 1.667 5.002 5.002
Be 5.002 1.667 5.002
Be 5.002 5.002 1.667
Os 1.667 1.667 5.002
Os 1.667 5.002 1.667
Os 5.002 1.667 1.667
Os 5.002 5.002 5.002

# 13
! Cd4Sb2As, optimized geometry, DFT GGA-PBE; values from VASP
! Excess energy over the best structure of this formula in the dataset (eV per atom): 0.024
! ΔE_f (raw) (eV per formula unit): 0.377
! Calculated total energy (eV per atom): -2.311
&SYSTEM
  ibrav = 0, nat = 14, ntyp = 3
/
ATOMIC_SPECIES
Cd 112.41 Cd.upf
Sb 121.76 Sb.upf
As 74.92 As.upf
CELL_PARAMETERS angstrom
6.771 0.000 0.000
0.000 6.263 0.000
-2.752 0.000 8.906
ATOMIC_POSITIONS angstrom
Cd -0.029 1.566 2.736
Cd 1.037 4.697 0.402
Cd -0.186 3.264 6.944
Cd -0.186 6.130 6.944
Cd 4.205 0.133 1.963
Cd 4.205 2.999 1.963
Cd 2.981 1.566 8.505
Cd 4.047 4.697 6.171
Sb 0.442 4.697 3.247
Sb 1.884 1.566 0.444
Sb 2.135 4.697 8.462
Sb 3.577 1.566 5.659
As 0.970 1.566 5.247
As 3.048 4.697 3.660

# 14
! Na2TeN, optimized geometry, DFT GGA-PBE; values from VASP
! Excess energy over the best structure of this formula in the dataset (eV per atom): 0.297
! ΔE_f (raw) (eV per formula unit): 1.853
! Calculated total energy (eV per atom): -3.063
&SYSTEM
  ibrav = 0, nat = 16, ntyp = 3
/
ATOMIC_SPECIES
Na 22.99 Na.upf
Te 127.60 Te.upf
N 14.01 N.upf
CELL_PARAMETERS angstrom
7.291 0.000 0.000
0.000 7.291 0.000
0.000 0.000 7.291
ATOMIC_POSITIONS angstrom
Na 1.823 1.823 1.823
Na 1.823 1.823 5.468
Na 1.823 5.468 1.823
Na 1.823 5.468 5.468
Na 5.468 1.823 1.823
Na 5.468 1.823 5.468
Na 5.468 5.468 1.823
Na 5.468 5.468 5.468
Te 0.000 0.000 0.000
Te 0.000 3.645 3.645
Te 3.645 0.000 3.645
Te 3.645 3.645 0.000
N 0.000 0.000 3.645
N 0.000 3.645 0.000
N 3.645 0.000 0.000
N 3.645 3.645 3.645

# 15
! TbSm2YEr, optimized geometry, DFT GGA-PBE; values from VASP
! ΔH_f (0 K) (eV/atom): 0.40
! Calculated total energy (eV per atom): -4.617
&SYSTEM
  ibrav = 0, nat = 10, ntyp = 4
/
ATOMIC_SPECIES
Tb 158.93 Tb.upf
Sm 150.36 Sm.upf
Y 88.91 Y.upf
Er 167.26 Er.upf
CELL_PARAMETERS angstrom
4.186 -5.780 0.000
4.186 5.780 0.000
0.000 0.000 7.218
ATOMIC_POSITIONS angstrom
Tb 4.186 3.292 5.414
Tb 4.186 -3.292 1.805
Sm 1.619 0.000 0.000
Sm 1.619 0.000 3.609
Sm 6.753 0.000 0.000
Sm 6.753 0.000 3.609
Y 4.186 3.010 1.805
Y 4.186 -3.010 5.414
Er 4.186 0.230 5.414
Er 4.186 -0.230 1.805

# 16
! Pm8Co3IrCl4, optimized geometry, DFT GGA-PBE; values from VASP
! ΔE_f (raw) (eV per formula unit): -14.760
! Calculated total energy (eV per atom): -5.646
&SYSTEM
  ibrav = 0, nat = 16, ntyp = 4
/
ATOMIC_SPECIES
Pm 145.00 Pm.upf
Co 58.93 Co.upf
Ir 192.22 Ir.upf
Cl 35.45 Cl.upf
CELL_PARAMETERS angstrom
6.882 -3.973 0.000
6.882 3.973 0.000
-4.595 0.000 7.505
ATOMIC_POSITIONS angstrom
Pm 3.411 2.035 5.271
Pm -0.002 0.000 5.245
Pm 2.234 0.000 2.234
Pm 5.758 2.035 2.233
Pm 3.411 -2.035 5.271
Pm 6.935 0.000 5.271
Pm 9.171 0.000 2.259
Pm 5.758 -2.035 2.233
Co -2.297 0.000 3.752
Co 1.144 1.987 3.752
Co 1.144 -1.987 3.752
Ir 4.584 0.000 3.752
Cl 0.000 0.000 0.000
Cl 3.441 1.987 0.000
Cl 3.441 -1.987 0.000
Cl 6.882 0.000 0.000

# 17
! SrTlGa2Ir, optimized geometry, DFT GGA-PBE; values from VASP
! ΔH_f (0 K) (eV/atom): -0.26
! Calculated total energy (eV per atom): -4.049
&SYSTEM
  ibrav = 0, nat = 5, ntyp = 4
/
ATOMIC_SPECIES
Sr 87.62 Sr.upf
Tl 204.38 Tl.upf
Ga 69.72 Ga.upf
Ir 192.22 Ir.upf
CELL_PARAMETERS angstrom
4.879 0.000 0.000
0.000 4.879 0.000
0.000 0.000 5.814
ATOMIC_POSITIONS angstrom
Sr 0.000 0.000 0.000
Tl 2.439 2.439 0.000
Ga 0.000 2.439 2.907
Ga 2.439 0.000 2.907
Ir 0.000 0.000 2.907

# 18
! HfCo5B2, optimized geometry, DFT GGA-PBE; values from VASP
! ΔH_f (0 K) (eV/atom): -0.33
! Calculated total energy (eV per atom): -7.689
&SYSTEM
  ibrav = 0, nat = 16, ntyp = 3
/
ATOMIC_SPECIES
Hf 178.49 Hf.upf
Co 58.93 Co.upf
B 10.81 B.upf
CELL_PARAMETERS angstrom
3.364 0.000 0.000
0.000 6.130 0.000
0.000 0.000 8.117
ATOMIC_POSITIONS angstrom
Hf 0.000 0.000 0.000
Hf 1.682 3.065 4.059
Co 0.000 1.182 2.820
Co 0.000 1.182 5.298
Co 0.000 3.065 0.000
Co 0.000 4.948 2.820
Co 0.000 4.948 5.298
Co 1.682 0.000 4.059
Co 1.682 1.883 1.239
Co 1.682 1.883 6.878
Co 1.682 4.247 1.239
Co 1.682 4.247 6.878
B 0.000 3.065 2.019
B 0.000 3.065 6.098
B 1.682 0.000 2.039
B 1.682 0.000 6.078

# 19
! Pu2AgGe4Pd3, optimized geometry, DFT GGA-PBE; values from VASP
! ΔH_f (0 K) (eV/atom): -0.47
! Calculated total energy (eV per atom): -7.026
&SYSTEM
  ibrav = 0, nat = 10, ntyp = 4
/
ATOMIC_SPECIES
Pu 244.00 Pu.upf
Ag 107.87 Ag.upf
Ge 72.64 Ge.upf
Pd 106.42 Pd.upf
CELL_PARAMETERS angstrom
4.315 0.000 0.000
0.000 4.315 0.000
0.000 0.000 10.409
ATOMIC_POSITIONS angstrom
Pu 0.000 2.157 2.558
Pu 2.157 0.000 7.850
Ag 0.000 0.000 5.204
Ge 0.000 0.000 0.000
Ge 0.000 2.157 6.663
Ge 2.157 0.000 3.745
Ge 2.157 2.157 0.000
Pd 0.000 2.157 9.102
Pd 2.157 0.000 1.307
Pd 2.157 2.157 5.204

# 20
! Hf4SiP, optimized geometry, DFT GGA-PBE; values from VASP
! Excess energy over the best structure of this formula in the dataset (eV per atom): 0.447
! ΔE_f (raw) (eV per formula unit): -2.511
! Calculated total energy (eV per atom): -8.860
&SYSTEM
  ibrav = 0, nat = 12, ntyp = 3
/
ATOMIC_SPECIES
Hf 178.49 Hf.upf
Si 28.09 Si.upf
P 30.97 P.upf
CELL_PARAMETERS angstrom
6.664 0.000 0.000
0.000 5.899 0.000
-3.385 0.000 6.463
ATOMIC_POSITIONS angstrom
Hf 0.054 1.325 1.940
Hf -1.639 1.624 5.172
Hf -0.129 4.346 4.435
Hf 1.563 4.502 1.203
Hf 1.715 1.397 5.260
Hf 3.408 1.552 2.028
Hf 4.917 4.275 1.291
Hf 3.225 4.574 4.523
Si 3.332 0.000 0.000
Si 1.639 2.949 3.232
P -1.693 0.000 3.232
P 0.000 2.949 0.000

no.,size of the total moment (μB per cell)
1,5.885
2,0.000
3,0.000
4,0.677
5,0.000
6,0.000
7,0.000
8,0.159
9,0.002
10,0.005
11,23.087
12,0.000
13,0.000
14,12.000
15,0.000
16,0.000
17,0.000
18,6.207
19,10.733
20,0.000